This record from Alexandria describes a geometry-optimized Dy3HoN3 structure. The functional is PBE-GGA.

Structure (POSCAR):
```
Dy3HoN3
1.0
-1.170 -3.679 -3.153
-1.147 -4.926 6.174
-6.071 4.346 -2.818
Dy Ho N
6 2 6
Direct
0.750 0.330 0.165
0.250 0.165 0.330
0.750 0.835 0.164
0.750 0.835 0.670
0.250 0.165 0.836
0.250 0.670 0.835
0.750 0.333 0.667
0.250 0.667 0.333
0.250 0.332 0.166
0.250 0.834 0.165
0.750 0.166 0.835
0.750 0.166 0.332
0.250 0.834 0.668
0.750 0.668 0.834
```

ΔE_f (raw): -1.314 eV/atom



This record from Alexandria describes a geometry-optimized Ho2TaCrN5 structure. The functional is PBE-GGA.

Structure (POSCAR):
```
Ho2TaCrN5
1.0
-2.197 1.577 1.737
1.011 -5.699 3.479
7.295 4.457 5.181
N Ta Ho Cr
10 2 4 2
Direct
0.508 0.016 0.286
0.492 0.984 0.786
0.957 0.915 0.542
0.286 0.573 0.654
0.043 0.085 0.042
0.714 0.427 0.154
0.319 0.637 0.376
0.681 0.363 0.876
0.634 0.269 0.500
0.366 0.731 0.000
0.215 0.430 0.012
0.785 0.570 0.512
0.111 0.221 0.694
0.889 0.779 0.194
0.859 0.718 0.802
0.141 0.282 0.302
0.476 0.951 0.459
0.524 0.049 0.959
```

ΔE_f (raw): -1.198 eV/atom



This record from Alexandria describes a geometry-optimized CsRbHAu structure. The functional is PBE-GGA.

Structure (POSCAR):
```
CsRbHAu
1.0
-1.542 4.053 -0.291
-2.160 -1.068 -3.421
-6.554 -2.142 4.893
H Au Rb Cs
1 1 1 1
Direct
0.000 0.886 0.527
0.000 0.894 0.067
0.000 0.389 0.753
0.500 0.399 0.314
```



| no. | E_tot (eV per atom) |
| --- | --- |
| 1 | -7.51 |
| 2 | -9.23 |
| 3 | -2.25 |